Record 1
A plane-wave DFT calculation with PBE-GGA was carried out for a relaxed SrTaSiO6 crystal.

Calculated values
The calculation puts the formation energy without anion corrections at -2.5923 eV/atom. The density of states at the Fermi level comes out at 5.5 states/eV per cell. The total energy is -8.004 eV/atom. The calculated density comes out at 5.4 g cm⁻³. The volume comes out at 121 Å³/f.u.

```
data_SrTaSiO6
_chemical_formula_sum 'Sr1 Ta1 Si1 O6'
_cell_length_a 5.1044
_cell_length_b 5.1044
_cell_length_c 5.3690
_cell_angle_alpha 90.00
_cell_angle_beta 90.00
_cell_angle_gamma 120.00
_symmetry_space_group_name_H-M 'P 3 1 2'
_symmetry_Int_Tables_number 149
_symmetry_space_group_name_Hall 'P 3 2'
loop_
_atom_site_label
_atom_site_fract_x
_atom_site_fract_y
_atom_site_fract_z
Sr1 0.0000 0.0000 0.0000
Ta1 0.3333 0.6667 0.5000
Si1 0.6667 0.3333 0.5000
O1 0.3970 0.0282 0.6936
```


Record 2
A plane-wave DFT calculation with PBE-GGA was carried out for a relaxed AcPN2 crystal.

Calculated values
Its polymorph energy (0 for the lowest one) is 514.1 meV/atom. The calculation puts the formation energy without anion corrections at -0.4516 eV/atom. The density of states at the Fermi level comes out at 1.4 states/eV per cell. The total energy is -6.994 eV/atom. The calculated density comes out at 5.6 g cm⁻³. The volume comes out at 85 Å³/f.u.

```
data_AcPN2
_chemical_formula_sum 'Ac2 P2 N4'
_cell_length_a 5.1372
_cell_length_b 5.8810
_cell_length_c 5.8953
_cell_angle_alpha 78.37
_cell_angle_beta 79.82
_cell_angle_gamma 79.81
_symmetry_space_group_name_H-M 'P -1'
_symmetry_Int_Tables_number 2
_symmetry_space_group_name_Hall '-P 1'
loop_
_atom_site_label
_atom_site_fract_x
_atom_site_fract_y
_atom_site_fract_z
Ac1 0.0000 0.0000 0.0000
Ac2 0.5000 0.5000 0.5000
P1 0.2498 0.0641 0.4364
N1 0.1074 0.8266 0.4213
N2 0.3927 0.0774 0.6739
```


Record 3
A plane-wave DFT calculation with PBE-GGA was carried out for a relaxed NiOs2Se crystal.

Calculated values
The calculation puts the formation energy without anion corrections at 0.6374 eV/atom. The density of states at the Fermi level comes out at 21.3 states/eV per cell. The total energy is -7.294 eV/atom. The calculated density comes out at 15.1 g cm⁻³. The volume comes out at 57 Å³/f.u.

```
data_NiOs2Se
_chemical_formula_sum 'Ni3 Os6 Se3'
_cell_length_a 2.8516
_cell_length_b 2.8516
_cell_length_c 24.3339
_cell_angle_alpha 90.00
_cell_angle_beta 90.00
_cell_angle_gamma 120.00
_symmetry_space_group_name_H-M 'R -3 m'
_symmetry_Int_Tables_number 166
_symmetry_space_group_name_Hall '-R 3 2"'
loop_
_atom_site_label
_atom_site_fract_x
_atom_site_fract_y
_atom_site_fract_z
Ni1 0.0000 0.0000 0.0000
Os1 0.0000 0.0000 0.2507
Se1 0.0000 0.0000 0.5000
```


Record 4
A plane-wave DFT calculation with PBE-GGA was carried out for a relaxed Sc2CoGeP crystal.

Calculated values
The density of states at the Fermi level comes out at 3.1 states/eV per cell. The total energy is -6.268 eV/atom. The calculated density comes out at 4.3 g cm⁻³. The volume comes out at 98 Å³/f.u.

```
data_Sc2CoGeP
_chemical_formula_sum 'Sc2 Co1 Ge1 P1'
_cell_length_a 4.7733
_cell_length_b 4.7733
_cell_length_c 4.2808
_cell_angle_alpha 90.00
_cell_angle_beta 90.00
_cell_angle_gamma 90.00
_symmetry_space_group_name_H-M 'P 4/m m m'
_symmetry_Int_Tables_number 123
_symmetry_space_group_name_Hall '-P 4 2'
loop_
_atom_site_label
_atom_site_fract_x
_atom_site_fract_y
_atom_site_fract_z
Sc1 0.0000 0.5000 0.0000
Co1 0.0000 0.0000 0.0000
Ge1 0.0000 0.0000 0.5000
P1 0.5000 0.5000 0.5000
```


Record 5
A plane-wave DFT calculation with PBE-GGA was carried out for a relaxed Ce2NpZn crystal.

Calculated values
Its polymorph energy (0 for the lowest one) is 470.8 meV/atom. The density of states at the Fermi level comes out at 22.8 states/eV per cell. The total energy is -6.011 eV/atom. The calculated density comes out at 9.0 g cm⁻³. The volume comes out at 107 Å³/f.u.

```
data_Ce2NpZn
_chemical_formula_sum 'Ce6 Np3 Zn3'
_cell_length_a 3.6468
_cell_length_b 3.6468
_cell_length_c 27.8933
_cell_angle_alpha 90.00
_cell_angle_beta 90.00
_cell_angle_gamma 120.00
_symmetry_space_group_name_H-M 'R -3 m'
_symmetry_Int_Tables_number 166
_symmetry_space_group_name_Hall '-R 3 2"'
loop_
_atom_site_label
_atom_site_fract_x
_atom_site_fract_y
_atom_site_fract_z
Ce1 0.0000 0.0000 0.1111
Np1 0.0000 0.0000 0.5000
Zn1 0.0000 0.0000 0.0000
```


Record 6
A plane-wave DFT calculation with PBE-GGA was carried out for a relaxed Pm6Ho2Tm3Th crystal.

Calculated values
The density of states at the Fermi level comes out at 31.4 states/eV per cell. The total energy is -4.841 eV/atom. The calculated density comes out at 8.3 g cm⁻³. The volume comes out at 390 Å³/f.u.

```
data_Pm6Ho2Tm3Th
_chemical_formula_sum 'Pm12 Ho4 Tm6 Th2'
_cell_length_a 6.2150
_cell_length_b 10.7595
_cell_length_c 11.8461
_cell_angle_alpha 90.00
_cell_angle_beta 100.09
_cell_angle_gamma 90.00
_symmetry_space_group_name_H-M 'C 1 2/m 1'
_symmetry_Int_Tables_number 12
_symmetry_space_group_name_Hall '-C 2y'
loop_
_atom_site_label
_atom_site_fract_x
_atom_site_fract_y
_atom_site_fract_z
Pm1 0.2462 0.0000 0.2495
Pm2 0.2491 0.1652 0.7508
Ho1 0.0000 0.3333 0.5000
Tm1 0.0000 0.1669 0.0000
Tm2 0.0000 0.5000 0.0000
Th1 0.0000 0.0000 0.5000
```


Record 7
A plane-wave DFT calculation with PBE-GGA was carried out for a relaxed SrMg2Mo crystal.

Calculated values
Its polymorph energy (0 for the lowest one) is 12.2 meV/atom. The density of states at the Fermi level comes out at 4.8 states/eV per cell. The total energy is -3.425 eV/atom. The calculated density comes out at 4.0 g cm⁻³. The volume comes out at 96 Å³/f.u.

```
data_SrMg2Mo
_chemical_formula_sum 'Sr1 Mg2 Mo1'
_cell_length_a 3.2038
_cell_length_b 3.9776
_cell_length_c 7.5494
_cell_angle_alpha 90.00
_cell_angle_beta 90.00
_cell_angle_gamma 90.00
_symmetry_space_group_name_H-M 'P m m m'
_symmetry_Int_Tables_number 47
_symmetry_space_group_name_Hall '-P 2 2'
loop_
_atom_site_label
_atom_site_fract_x
_atom_site_fract_y
_atom_site_fract_z
Sr1 0.0000 0.0000 0.0000
Mg1 0.5000 0.5000 0.3122
Mo1 0.0000 0.0000 0.5000
```


Record 8
A plane-wave DFT calculation with PBE-GGA was carried out for a relaxed SrLiAcZn crystal.

Calculated values
Its polymorph energy (0 for the lowest one) is 37.3 meV/atom. The density of states at the Fermi level comes out at 14.7 states/eV per cell. The total energy is -2.302 eV/atom. The calculated density comes out at 5.1 g cm⁻³. The volume comes out at 127 Å³/f.u.

```
data_SrLiAcZn
_chemical_formula_sum 'Sr4 Li4 Ac4 Zn4'
_cell_length_a 7.9732
_cell_length_b 7.9732
_cell_length_c 7.9732
_cell_angle_alpha 90.00
_cell_angle_beta 90.00
_cell_angle_gamma 90.00
_symmetry_space_group_name_H-M 'F -4 3 m'
_symmetry_Int_Tables_number 216
_symmetry_space_group_name_Hall 'F -4 2 3'
loop_
_atom_site_label
_atom_site_fract_x
_atom_site_fract_y
_atom_site_fract_z
Sr1 0.0000 0.0000 0.0000
Li1 0.2500 0.2500 0.2500
Ac1 0.0000 0.0000 0.5000
Zn1 0.2500 0.2500 0.7500
```


Record 9
A plane-wave DFT calculation with PBE-GGA was carried out for a relaxed Pm8NdCd2 crystal.

Calculated values
Its polymorph energy (0 for the lowest one) is 91.8 meV/atom. The density of states at the Fermi level comes out at 29.1 states/eV per cell. The total energy is -4.036 eV/atom. The calculated density comes out at 7.0 g cm⁻³. The volume comes out at 360 Å³/f.u.

```
data_Pm8NdCd2
_chemical_formula_sum 'Pm16 Nd2 Cd4'
_cell_length_a 15.8816
_cell_length_b 6.8905
_cell_length_c 6.7176
_cell_angle_alpha 90.00
_cell_angle_beta 101.28
_cell_angle_gamma 90.00
_symmetry_space_group_name_H-M 'C 1 2/m 1'
_symmetry_Int_Tables_number 12
_symmetry_space_group_name_Hall '-C 2y'
loop_
_atom_site_label
_atom_site_fract_x
_atom_site_fract_y
_atom_site_fract_z
Pm1 0.0880 0.0000 0.4108
Pm2 0.0989 0.2353 0.9153
Pm3 0.2079 0.5000 0.3204
Nd1 0.0000 0.5000 0.5000
Cd1 0.2438 0.5000 0.8001
```


Record 10
A plane-wave DFT calculation with PBE-GGA was carried out for a relaxed Sm2PuIr2 crystal.

Calculated values
The density of states at the Fermi level comes out at 18.6 states/eV per cell. The total energy is -8.884 eV/atom. The calculated density comes out at 12.9 g cm⁻³. The volume comes out at 119 Å³/f.u.

```
data_Sm2PuIr2
_chemical_formula_sum 'Sm4 Pu2 Ir4'
_cell_length_a 4.2248
_cell_length_b 6.1209
_cell_length_c 9.2240
_cell_angle_alpha 90.00
_cell_angle_beta 90.00
_cell_angle_gamma 90.00
_symmetry_space_group_name_H-M 'I m m m'
_symmetry_Int_Tables_number 71
_symmetry_space_group_name_Hall '-I 2 2'
loop_
_atom_site_label
_atom_site_fract_x
_atom_site_fract_y
_atom_site_fract_z
Sm1 0.0000 0.0000 0.1979
Pu1 0.0000 0.5000 0.0000
Ir1 0.0000 0.2768 0.5000
```


Record 11
A plane-wave DFT calculation with PBE-GGA was carried out for a relaxed BaNa2NbCl8 crystal.

Calculated values
The calculation puts the formation energy without anion corrections at -1.6933 eV/atom. The density of states at the Fermi level comes out at 2.8 states/eV per cell. The total energy is -4.144 eV/atom. The calculated density comes out at 2.5 g cm⁻³. The volume comes out at 377 Å³/f.u.

```
data_BaNa2NbCl8
_chemical_formula_sum 'Ba1 Na2 Nb1 Cl8'
_cell_length_a 6.5292
_cell_length_b 6.5808
_cell_length_c 8.8185
_cell_angle_alpha 86.86
_cell_angle_beta 87.41
_cell_angle_gamma 86.56
_symmetry_space_group_name_H-M 'P -1'
_symmetry_Int_Tables_number 2
_symmetry_space_group_name_Hall '-P 1'
loop_
_atom_site_label
_atom_site_fract_x
_atom_site_fract_y
_atom_site_fract_z
Ba1 0.0000 0.0000 0.0000
Na1 0.4713 0.4686 0.2292
Nb1 0.0000 0.0000 0.5000
Cl1 0.1724 0.7865 0.7026
Cl2 0.1839 0.7966 0.3023
Cl3 0.2716 0.2270 0.4899
Cl4 0.3313 0.2964 0.9869
```


Record 12
A plane-wave DFT calculation with PBE-GGA was carried out for a relaxed RbTlTeAsCl crystal.

Calculated values
Its polymorph energy (0 for the lowest one) is 42.3 meV/atom. The calculation puts the formation energy without anion corrections at -0.6629 eV/atom. The density of states at the Fermi level comes out at 1.0 states/eV per cell. The total energy is -3.257 eV/atom. The calculated density comes out at 4.8 g cm⁻³. The volume comes out at 181 Å³/f.u.

```
data_RbTlTeAsCl
_chemical_formula_sum 'Rb2 Tl2 Te2 As2 Cl2'
_cell_length_a 7.5330
_cell_length_b 5.3102
_cell_length_c 9.2171
_cell_angle_alpha 90.00
_cell_angle_beta 100.51
_cell_angle_gamma 90.00
_symmetry_space_group_name_H-M 'C 1 m 1'
_symmetry_Int_Tables_number 8
_symmetry_space_group_name_Hall 'C -2y'
loop_
_atom_site_label
_atom_site_fract_x
_atom_site_fract_y
_atom_site_fract_z
Rb1 0.0000 0.0000 0.0000
Tl1 0.2621 0.5000 0.4057
Te1 0.2305 0.0000 0.6433
As1 0.0894 0.5000 0.7121
Cl1 0.4095 0.0000 0.1862
```